Entry 1:
Material: LiLaPmSi
Method: DFT, GGA-PBE
State: relaxed

Cell lengths 7.3407, 7.3407, 7.3407 Å; angles 90.00, 90.00, 90.00 degrees
Closest atoms and distances in Å follow each position.
Space group F-43m (No. 216)
Unique sites:
Li 0.0000 0.0000 0.0000 x4  4 La 3.18, 4 Pm 3.18
La 0.2500 0.2500 0.7500 x4  4 Li 3.18, 4 Si 3.18
Pm 0.2500 0.2500 0.2500 x4  4 Si 3.18, 4 Li 3.18
Si 0.0000 0.0000 0.5000 x4  4 La 3.18, 4 Pm 3.18

Calculated values
Crystal system = cubic
Total magnetic moment = 0.000 μB/f.u.
ΔE_f (raw) = -131.9 kJ/mol of formula units

Entry 2:
Material: Li2LaPm2Si2
Method: DFT, GGA-PBE
State: relaxed

Cell lengths 4.5650, 4.5650, 27.4954 Å; angles 90.00, 90.00, 120.00 degrees
Closest atoms and distances in Å follow each position.
Space group R-3m (No. 166, hexagonal axes)
Unique sites:
Li 0.0000 0.0000 0.0945 x6  3 Si 2.64
La 0.0000 0.0000 0.5000 x3  6 Li 3.30, 6 Si 3.32, 2 Pm 3.54
Pm 0.0000 0.0000 0.3714 x6  3 Si 3.04, 3 Li 3.06, 3 Pm 3.36
Si 0.0000 0.0000 0.2401 x6  3 Li 2.64

Calculated values
Crystal system = trigonal
Total magnetic moment = 0.000 μB/f.u.
ΔE_f (raw) = -268.8 kJ/mol of formula units

Entry 3:
Material: Li2La2PmSn2
Method: DFT, GGA-PBE
State: relaxed

Cell lengths 4.8295, 4.8295, 27.8777 Å; angles 90.00, 90.00, 120.00 degrees
Closest atoms and distances in Å follow each position.
Space group R-3m (No. 166, hexagonal axes)
Unique sites:
Li 0.0000 0.0000 0.0989 x6  3 Sn 2.79
La 0.0000 0.0000 0.3667 x6  3 Li 3.33, 4 Sn 3.34-3.70, 3 La 3.35, 1 Pm 3.72
Pm 0.0000 0.0000 0.5000 x3  6 Sn 3.36, 6 Li 3.37, 2 La 3.72
Sn 0.0000 0.0000 0.2338 x6  3 Li 2.79

Calculated values
Crystal system = trigonal
Total magnetic moment = 0.000 μB/f.u.
Formation enthalpy at 0 K = -500 meV/atom

Entry 4:
Material: LiLaTbPm
Method: DFT, GGA-PBE
State: relaxed

Cell lengths 7.9719, 7.9719, 7.9719 Å; angles 90.00, 90.00, 90.00 degrees
Closest atoms and distances in Å follow each position.
Space group F-43m (No. 216)
Unique sites:
Li 0.0000 0.0000 0.0000 x4  4 La 3.45, 4 Tb 3.45
La 0.2500 0.2500 0.7500 x4  4 Li 3.45, 4 Pm 3.45
Tb 0.2500 0.2500 0.2500 x4  4 Li 3.45, 4 Pm 3.45
Pm 0.0000 0.0000 0.5000 x4  4 Tb 3.45, 4 La 3.45

Calculated values
Crystal system = cubic
Total magnetic moment = 0.000 μB/f.u.
Formation enthalpy at 0 K = 190 meV/atom

Entry 5:
Material: LiLaPmTc
Method: DFT, GGA-PBE
State: relaxed

Cell lengths 7.2023, 7.2023, 7.2023 Å; angles 90.00, 90.00, 90.00 degrees
Closest atoms and distances in Å follow each position.
Space group F-43m (No. 216)
Unique sites:
Li 0.0000 0.0000 0.0000 x4  4 La 3.12, 4 Pm 3.12
La 0.2500 0.2500 0.7500 x4  4 Li 3.12, 4 Tc 3.12
Pm 0.2500 0.2500 0.2500 x4  4 Li 3.12, 4 Tc 3.12
Tc 0.0000 0.0000 0.5000 x4  4 La 3.12, 4 Pm 3.12

Calculated values
Crystal system = cubic
Total magnetic moment = 0.000 μB/f.u.
Formation enthalpy at 0 K = 60 meV/atom

Entry 6:
Material: LiLa2Pm3Te6
Method: DFT, GGA-PBE
State: relaxed

Cell lengths 19.5906, 4.4805, 8.9993 Å; angles 90.00, 103.80, 90.00 degrees
Closest atoms and distances in Å follow each position.
Space group C2/m (No. 12)
Unique sites:
Li 0.0000 0.0000 0.0000 x2  6 Te 3.06-3.13
La 0.1661 0.5000 0.3328 x4  6 Te 3.20-3.23
Pm 0.0000 0.0000 0.5000 x2  6 Te 3.13-3.23
Pm 0.1697 0.5000 0.8300 x4  6 Te 3.12-3.23
Te 0.0030 0.5000 0.7594 x4  2 Li 3.13, 3 Pm 3.17-3.23, 1 La 3.22
Te 0.1606 0.0000 0.0723 x4  1 Li 3.06, 3 Pm 3.16-3.23, 2 La 3.23
Te 0.1646 0.0000 0.5855 x4  3 Pm 3.12-3.13, 3 La 3.20-3.22

Calculated values
Crystal system = monoclinic
Total magnetic moment = 0.000 μB/f.u.
ΔE_f (raw) = -1675.3 kJ/mol of formula units

Entry 7:
Material: LiLa3Pm3Te8
Method: DFT, GGA-PBE
State: relaxed

Cell lengths 8.9887, 8.9887, 22.1133 Å; angles 90.00, 90.00, 120.00 degrees
Closest atoms and distances in Å follow each position.
Space group R-3m (No. 166, hexagonal axes)
Unique sites:
Li 0.0000 0.0000 0.0000 x3  6 Te 3.14
La 0.0000 0.5000 0.5000 x9  6 Te 3.21
Pm 0.0000 0.5000 0.0000 x9  6 Te 3.15
Te 0.0000 0.0000 0.2525 x6  3 Pm 3.15, 3 La 3.21
Te 0.0020 0.5010 0.7473 x18  1 Li 3.14, 2 Pm 3.15, 2 La 3.21

Calculated values
Crystal system = trigonal
Total magnetic moment = 0.000 μB/f.u.
ΔE_f (raw) = -2113.8 kJ/mol of formula units

Entry 8:
Material: LiLa4Pm3Te8
Method: DFT, GGA-PBE
State: relaxed

Cell lengths 9.0397, 9.0397, 21.9964 Å; angles 90.00, 90.00, 120.00 degrees
Closest atoms and distances in Å follow each position.
Space group R-3m (No. 166, hexagonal axes)
Unique sites:
Li 0.0000 0.0000 0.0000 x3  6 Te 3.08
La 0.0000 0.0000 0.5000 x3  6 Te 3.30
La 0.0000 0.5000 0.5000 x9  6 Te 3.22
Pm 0.0000 0.5000 0.0000 x9  6 Te 3.16
Te 0.0000 0.0000 0.2523 x6  3 Pm 3.16, 3 La 3.22
Te 0.0084 0.5042 0.7455 x18  1 Li 3.08, 2 Pm 3.16, 3 La 3.22-3.30

Calculated values
Crystal system = trigonal
Total magnetic moment = 0.000 μB/f.u.
ΔE_f (raw) = -2280.6 kJ/mol of formula units

Entry 9:
Material: Li3LaPm2Te6
Method: DFT, GGA-PBE
State: relaxed

Cell lengths 7.7540, 13.4315, 7.5371 Å; angles 90.00, 110.05, 90.00 degrees
Closest atoms and distances in Å follow each position.
Space group C2/m (No. 12)
Unique sites:
Li 0.0000 0.0000 0.0000 x2  6 Te 3.05-3.11
Li 0.0000 0.3325 0.0000 x4  6 Te 3.04-3.11
La 0.0000 0.5000 0.5000 x2  6 Te 3.21-3.22
Pm 0.0000 0.1666 0.5000 x4  6 Te 3.16-3.17
Te 0.2436 0.1694 0.2386 x8  3 Li 3.04-3.11, 2 Pm 3.16, 1 La 3.21
Te 0.2488 0.0000 0.7625 x4  3 Li 3.05-3.11, 2 Pm 3.17, 1 La 3.22

Calculated values
Crystal system = monoclinic
Total magnetic moment = 0.000 μB/f.u.
ΔE_f (raw) = -1531.3 kJ/mol of formula units

Entry 10:
Material: Li2La2PmTl2
Method: DFT, GGA-PBE
State: relaxed

Cell lengths 4.8868, 4.8868, 27.2686 Å; angles 90.00, 90.00, 120.00 degrees
Closest atoms and distances in Å follow each position.
Space group R-3m (No. 166, hexagonal axes)
Unique sites:
Li 0.0000 0.0000 0.0998 x6  3 Tl 2.82
La 0.0000 0.0000 0.3639 x6  3 La 3.28, 3 Li 3.39, 4 Tl 3.40-3.56
Pm 0.0000 0.0000 0.5000 x3  6 Tl 3.36, 6 Li 3.36, 2 La 3.71
Tl 0.0000 0.0000 0.2333 x6  3 Li 2.82

Calculated values
Crystal system = trigonal
Total magnetic moment = 0.000 μB/f.u.
Formation enthalpy at 0 K = -236 meV/atom

Entry 11:
Material: LiLa2PmTl4
Method: DFT, GGA-PBE
State: relaxed

Cell lengths 5.4125, 5.4125, 27.6389 Å; angles 90.00, 90.00, 120.00 degrees
Closest atoms and distances in Å follow each position.
Space group R-3m (No. 166, hexagonal axes)
Unique sites:
Li 0.0000 0.0000 0.0000 x3  8 Tl 3.32-3.44
La 0.0000 0.0000 0.2565 x6  7 Tl 3.24-3.39
Pm 0.0000 0.0000 0.5000 x3  8 Tl 3.34-3.49
Tl 0.0000 0.0000 0.1244 x6  3 Pm 3.34, 4 La 3.39-3.65, 1 Li 3.44
Tl 0.0000 0.0000 0.3738 x6  4 La 3.24-3.28, 3 Li 3.32, 1 Pm 3.49

Calculated values
Crystal system = trigonal
Total magnetic moment = 0.000 μB/f.u.
Formation enthalpy at 0 K = -377 meV/atom

Entry 12:
Material: LiLaPm2Tl4
Method: DFT, GGA-PBE
State: relaxed

Cell lengths 5.3585, 5.3585, 27.5721 Å; angles 90.00, 90.00, 120.00 degrees
Closest atoms and distances in Å follow each position.
Space group R-3m (No. 166, hexagonal axes)
Unique sites:
Li 0.0000 0.0000 0.0000 x3  8 Tl 3.28-3.35
La 0.0000 0.0000 0.5000 x3  8 Tl 3.33-3.52
Pm 0.0000 0.0000 0.2568 x6  7 Tl 3.19-3.33
Tl 0.0000 0.0000 0.1215 x6  4 Pm 3.33-3.73, 3 La 3.33, 1 Li 3.35
Tl 0.0000 0.0000 0.3725 x6  4 Pm 3.19-3.26, 3 Li 3.28, 1 La 3.52

Calculated values
Crystal system = trigonal
Total magnetic moment = 0.000 μB/f.u.
Formation enthalpy at 0 K = -355 meV/atom